# 1
The following is a DFT calculation (PBE) of an optimized crystal structure of Si3PbW.

E above lowest polymorph (meV/atom): 0.0
Formation energy from raw total energies (eV per atom): 0.576
Total magnetic moment (μB per formula unit): 0.00
V (Å³/atom): 22.64
SG: Pm-3m
Density (g/cm³): 6.97
Electronic total energy (eV per atom): -6.01
DOS(E_F) (states/eV per cell): 3.7

abc: 4.8374 4.8374 4.8374
angles: 90.00 90.00 90.00
With the nearest neighbours (Å) after each atom.
Fractional positions:
Si1 0.0000 0.0000 0.5000  2 W 2.42
Si2 0.0000 0.5000 0.0000  2 W 2.42
Si3 0.5000 0.0000 0.0000  2 W 2.42
Pb1 0.5000 0.5000 0.5000  12 Si 3.42
W1 0.0000 0.0000 0.0000  6 Si 2.42

***

# 2
The following is a DFT calculation (PBE) of an optimized crystal structure of SiPb2W.

Formation energy from raw total energies (eV per atom): 0.999
Total magnetic moment (μB per formula unit): 0.00
V (Å³/atom): 22.57
SG: Cmmm
Density (g/cm³): 11.52
Electronic total energy (eV per atom): -5.45
DOS(E_F) (states/eV per cell): 2.6

abc: 3.0451 3.0451 10.2725
angles: 90.00 90.00 108.60
With the nearest neighbours (Å) after each atom.
Fractional positions:
Si1 0.0000 0.0000 0.0000  4 Si 3.05, 4 Pb 3.24
Pb1 0.5000 0.5000 0.2643  2 W 3.00, 4 Pb 3.05, 2 Si 3.24
Pb2 0.5000 0.5000 0.7357  2 W 3.00, 4 Pb 3.05, 2 Si 3.24
W1 0.0000 0.0000 0.5000  4 Pb 3.00, 4 W 3.05

***

# 3
The following is a DFT calculation (PBE) of an optimized crystal structure of Si2PbW.

Formation energy from raw total energies (eV per atom): 0.404
Total magnetic moment (μB per formula unit): 0.00
V (Å³/atom): 19.48
SG: R-3m
Density (g/cm³): 9.53
Electronic total energy (eV per atom): -6.47
DOS(E_F) (states/eV per cell): 2.8

abc: 9.2042 9.2042 9.2042
angles: 19.76 19.76 19.76
With the nearest neighbours (Å) after each atom.
Fractional positions:
Si1 0.2327 0.2327 0.2327  3 W 2.55
Si2 0.7673 0.7673 0.7673  3 W 2.55
Pb1 0.0000 0.0000 0.0000  6 Pb 3.16, 6 Si 3.28
W1 0.5000 0.5000 0.5000  6 Si 2.55